V2Ge2H, optimized geometry, DFT PBE; energy = -6.157 eV/atom; excess energy over the best structure of this formula in the dataset = 0.131 eV/atom; size of the total moment = 0.0 μB/f.u.
1.0
5.521 0.000 0.000
0.000 5.521 0.000
0.000 0.000 4.173
V Ge H
4 4 2
direct
0.152 0.348 0.000
0.348 0.848 0.000
0.652 0.152 0.000
0.848 0.652 0.000
0.167 0.667 0.500
0.333 0.167 0.500
0.667 0.833 0.500
0.833 0.333 0.500
0.000 0.000 0.000
0.500 0.500 0.000



V6GeH2, optimized geometry, DFT PBE; energy = -7.179 eV/atom; size of the total moment = 0.0 μB/f.u.
1.0
4.929 -1.629 0.000
4.929 1.629 0.000
-2.310 0.000 6.834
V Ge H
6 1 2
direct
0.002 0.002 0.171
0.314 0.314 0.427
0.331 0.331 0.926
0.669 0.669 0.074
0.686 0.686 0.573
0.998 0.998 0.829
0.000 0.000 0.500
0.191 0.191 0.186
0.809 0.809 0.814



VGe2H, optimized geometry, DFT PBE; energy = -5.152 eV/atom; excess energy over the best structure of this formula in the dataset = 0.109 eV/atom; size of the total moment = 0.0 μB/f.u.
1.0
-2.929 2.929 2.964
2.929 -2.929 2.964
2.929 2.929 -2.964
V Ge H
2 4 2
direct
0.000 0.000 0.000
0.750 0.250 0.500
0.209 0.625 0.084
0.375 0.459 0.584
0.541 0.125 0.916
0.875 0.791 0.416
0.250 0.750 0.500
0.500 0.500 0.000



VGeH3, optimized geometry, DFT PBE; energy = -4.471 eV/atom; excess energy over the best structure of this formula in the dataset = 0.000 eV/atom; size of the total moment = 0.0 μB/f.u.
1.0
3.457 0.000 0.000
0.000 3.457 0.000
0.000 0.000 3.457
V Ge H
1 1 3
direct
0.000 0.000 0.000
0.500 0.500 0.500
0.000 0.000 0.500
0.000 0.500 0.000
0.500 0.000 0.000



VGe3H, optimized geometry, DFT PBE; energy = -4.823 eV/atom; excess energy over the best structure of this formula in the dataset = 0.000 eV/atom; size of the total moment = 2.4 μB/f.u.
1.0
4.160 0.000 0.000
0.000 4.160 0.000
0.000 0.000 4.160
V Ge H
1 3 1
direct
0.000 0.000 0.000
0.000 0.500 0.500
0.500 0.000 0.500
0.500 0.500 0.000
0.500 0.500 0.500



V4GeH, optimized geometry, DFT PBE; energy = -7.542 eV/atom; size of the total moment = 0.0 μB/f.u.
1.0
4.810 0.000 0.000
0.301 5.192 0.000
1.988 1.787 5.663
V Ge H
8 2 2
direct
0.023 0.006 0.227
0.187 0.392 0.846
0.204 0.407 0.349
0.387 0.820 0.458
0.613 0.180 0.542
0.796 0.593 0.651
0.813 0.608 0.154
0.977 0.994 0.773
0.392 0.790 0.934
0.608 0.210 0.066
0.000 0.000 0.500
0.500 0.500 0.500